# 1
# Sn2PW

Sn2PW after structural relaxation (PBE, Alexandria via LeMat-Bulk).

```
Sn2PW
1.0
-3.1507 3.1507 5.8478
3.1507 -3.1507 5.8478
3.1507 3.1507 -5.8478
Sn P W
4 2 2
Direct
0.1125 0.6250 0.9875
0.3750 0.3625 0.4875
0.6375 0.1250 0.0125
0.8750 0.8875 0.5125
0.0000 0.0000 0.0000
0.7500 0.2500 0.5000
0.2500 0.7500 0.5000
0.5000 0.5000 0.0000
```

## Properties
DOS(E_F) = 5.61 states/eV/cell
calculated formation energy = 4.24 eV/f.u.
space group = I-42d, No. 122
M_tot = 0.449 μB/atom

=====

# 2
# ScHO3

ScHO3 after structural relaxation (PBE, Alexandria via LeMat-Bulk).

```
ScHO3
1.0
4.0840 0.0000 0.0000
0.0000 4.0840 0.0000
0.0000 0.0000 4.0840
Sc H O
1 1 3
Direct
0.0000 0.0000 0.0000
0.5000 0.5000 0.5000
0.0000 0.0000 0.5000
0.0000 0.5000 0.0000
0.5000 0.0000 0.0000
```

## Properties
DOS(E_F) = 3.63 states/eV/cell
E = -27.420 eV for the cell shown
space group = Pm-3m, No. 221
M_tot = 0.400 μB/atom

=====

# 3
# TaTlS4

TaTlS4 after structural relaxation (PBE, Alexandria via LeMat-Bulk).

```
TaTlS4
1.0
7.1363 -3.7548 0.0000
7.1363 3.7548 0.0000
-1.1083 0.0000 6.5578
Ta Tl S
2 2 8
Direct
0.0745 0.0745 0.2410
0.9255 0.9255 0.7590
0.3309 0.3309 0.7913
0.6691 0.6691 0.2087
0.1574 0.6957 0.4950
0.2216 0.7784 0.0000
0.2281 0.2281 0.2356
0.3043 0.8426 0.5050
0.6957 0.1574 0.4950
0.7719 0.7719 0.7644
0.7784 0.2216 0.0000
0.8426 0.3043 0.5050
```

## Properties
formation energy (no corrections) = -0.57 eV/atom
polymorph energy (0 for the lowest one) = 66.2 meV per atom
space group = C2/m, No. 12
M_tot = 0.000 μB/atom

=====

# 4
# Ho2B10Rh

Ho2B10Rh after structural relaxation (PBE, Alexandria via LeMat-Bulk).

```
Ho2B10Rh
1.0
5.6739 0.0000 0.0000
0.0000 11.2857 0.0000
0.0000 0.0000 4.1543
Ho B Rh
4 20 2
Direct
0.1997 0.1363 0.0000
0.3003 0.6363 0.0000
0.6997 0.3637 0.0000
0.8003 0.8637 0.0000
0.0553 0.3071 0.5000
0.1187 0.9577 0.5000
0.1371 0.8024 0.5000
0.2198 0.3808 0.1983
0.2198 0.3808 0.8017
0.2802 0.8808 0.1983
0.2802 0.8808 0.8017
0.3629 0.3024 0.5000
0.3813 0.4577 0.5000
0.4447 0.8071 0.5000
0.5553 0.1929 0.5000
0.6187 0.5423 0.5000
0.6371 0.6976 0.5000
0.7198 0.1192 0.1983
0.7198 0.1192 0.8017
0.7802 0.6192 0.1983
0.7802 0.6192 0.8017
0.8629 0.1976 0.5000
0.8813 0.0423 0.5000
0.9447 0.6929 0.5000
0.0000 0.5000 0.5000
0.5000 0.0000 0.5000
```

## Properties
DOS(E_F) = 4.16 states/eV/cell
calculated formation energy = -6.65 eV/f.u.
space group = Pbam, No. 55
M_tot = 0.000 μB/atom

=====

# 5
# InBAsSe2

InBAsSe2 after structural relaxation (PBE, Alexandria via LeMat-Bulk).

```
InBAsSe2
1.0
4.6885 0.0000 0.0000
0.0000 4.6885 0.0000
0.0000 0.0000 4.4225
In B As Se
1 1 1 2
Direct
0.0000 0.0000 0.0000
0.5000 0.5000 0.5000
0.5000 0.5000 0.0000
0.0000 0.5000 0.5000
0.5000 0.0000 0.5000
```

## Properties
DOS(E_F) = 4.27 states/eV/cell
formation energy (no corrections) = 0.53 eV/atom
polymorph energy (0 for the lowest one) = 0.0 meV per atom
space group = P4/mmm, No. 123
M_tot = 0.001 μB/atom

=====

# 6
# ZrAgBr5

ZrAgBr5 after structural relaxation (PBE, Alexandria via LeMat-Bulk).

```
ZrAgBr5
1.0
7.4347 -3.6252 0.0000
7.4347 3.6252 0.0000
-3.3443 0.0000 9.7670
Zr Ag Br
2 2 10
Direct
0.0000 0.0000 0.0000
0.0000 0.0000 0.5000
0.3162 0.6838 0.7500
0.6838 0.3162 0.2500
0.0461 0.6554 0.8795
0.1465 0.8535 0.2500
0.1676 0.6031 0.5017
0.3446 0.9539 0.6205
0.3969 0.8324 0.9983
0.6031 0.1676 0.0017
0.6554 0.0461 0.3795
0.8324 0.3969 0.4983
0.8535 0.1465 0.7500
0.9539 0.3446 0.1205
```

## Properties
DOS(E_F) = 0.00 states/eV/cell
formation energy (no corrections) = -1.01 eV/atom
space group = C2/c, No. 15
M_tot = 0.000 μB/atom

=====

# 7
# Ba8AgP2

Ba8AgP2 after structural relaxation (PBE, Alexandria via LeMat-Bulk).

```
Ba8AgP2
1.0
10.4585 0.0000 0.0000
-5.2293 9.0573 0.0000
0.0000 0.0000 6.6308
Ba Ag P
8 1 2
Direct
0.1654 0.3317 0.2527
0.1664 0.8346 0.2527
0.3317 0.1664 0.7473
0.3333 0.6667 0.7618
0.6667 0.3333 0.2382
0.6683 0.8336 0.2527
0.8336 0.1654 0.7473
0.8346 0.6683 0.7473
0.0000 0.0000 0.5000
0.3333 0.6667 0.2673
0.6667 0.3333 0.7327
```

## Properties
DOS(E_F) = 12.10 states/eV/cell
calculated formation energy = -3.33 eV/f.u.
space group = P-3, No. 147
M_tot = 0.000 μB/atom

=====

# 8
# CrPt3Br

CrPt3Br after structural relaxation (PBE, Alexandria via LeMat-Bulk).

```
CrPt3Br
1.0
4.6602 0.0000 0.0000
0.0000 4.6602 0.0000
0.0000 0.0000 4.6602
Cr Pt Br
1 3 1
Direct
0.0000 0.0000 0.0000
0.0000 0.0000 0.5000
0.0000 0.5000 0.0000
0.5000 0.0000 0.0000
0.5000 0.5000 0.5000
```

## Properties
DOS(E_F) = 5.15 states/eV/cell
formation energy (no corrections) = 1.07 eV/atom
polymorph energy (0 for the lowest one) = 0.0 meV per atom
space group = Pm-3m, No. 221
M_tot = 0.000 μB/atom